1:
! PBE V2ICl, optimized geometry; values from VASP
! M_tot, μB/cell: 4.3
! Crystal system: cubic
! Space-group type: No. 225
! ρ, g/cm³: 6.2
! N(E_F), states/eV/atom: 0.973
&SYSTEM
  ibrav = 0, nat = 4, ntyp = 3
/
ATOMIC_SPECIES
Cl 35.45 Cl.upf
V 50.94 V.upf
I 126.90 I.upf
CELL_PARAMETERS angstrom
0.0000 3.2849 3.2849
3.2849 0.0000 3.2849
3.2849 3.2849 0.0000
ATOMIC_POSITIONS crystal
Cl 0.0000 0.0000 0.0000
V 0.7500 0.7500 0.7500
V 0.2500 0.2500 0.2500
I 0.5000 0.5000 0.5000

***

2:
! PBE V2ICl, optimized geometry; values from VASP
! M_tot, μB/cell: 7.9
! Crystal system: tetragonal
! Space-group type: No. 122
! ρ, g/cm³: 5.0
! N(E_F), states/eV/atom: 0.862
&SYSTEM
  ibrav = 0, nat = 8, ntyp = 3
/
ATOMIC_SPECIES
Cl 35.45 Cl.upf
V 50.94 V.upf
I 126.90 I.upf
CELL_PARAMETERS angstrom
4.7686 0.0000 0.0000
0.0000 4.7686 0.0000
2.3843 2.3843 7.7181
ATOMIC_POSITIONS crystal
Cl 0.2500 0.7500 0.5000
Cl 0.5000 0.5000 0.0000
V 0.5126 0.1250 0.2500
V 0.2374 0.6250 0.2500
V 0.3750 0.4874 0.7500
V 0.8750 0.7626 0.7500
I 0.7500 0.2500 0.5000
I 0.0000 0.0000 0.0000

***

In order of decreasing stability: 2, 1.